(1)
The following is a DFT calculation (GGA-PBE) of TbZr2Cu after structural relaxation.

D(E_F) in states/eV per cell: 5.4
SG: P4/mmm
E above lowest polymorph in meV per atom: 0
Raw total energy in eV for the cell shown: -25.7
Size of the total moment in μB/atom: 0.00

Cell lengths 3.300, 3.300, 8.052 Å; angles 90.00, 90.00, 90.00 degrees
Element x y z (fractional)
Cu (0.500, 0.500, 0.000)
Zr (0.000, 0.000, 0.794)
Zr (0.000, 0.000, 0.206)
Tb (0.500, 0.500, 0.500)

(2)
The following is a DFT calculation (GGA-PBE) of TbZr2Cu after structural relaxation.

D(E_F) in states/eV per cell: 5.3
SG: F-43m
E above lowest polymorph in meV per atom: 179
Raw total energy in eV for the cell shown: -25.0
Size of the total moment in μB/atom: 0.36

Cell lengths 4.985, 4.985, 4.983 Å; angles 59.99, 59.99, 60.00 degrees
Each line ends with the local moment (μB).
Element x y z (fractional)
Tb (0.500, 0.500, 0.500)  0.12
Cu (0.750, 0.750, 0.750)  0.01
Zr (0.000, 0.000, 0.000)  0.31
Zr (0.250, 0.250, 0.250)  0.62

(3)
The following is a DFT calculation (GGA-PBE) of Tb5ZrCu4 after structural relaxation.

D(E_F) in states/eV per cell: 6.6
SG: P4/mmm
Raw total energy in eV for the cell shown: -49.8
Size of the total moment in μB/atom: 0.00

Cell lengths 3.450, 3.450, 18.758 Å; angles 90.00, 90.00, 90.00 degrees
Element x y z (fractional)
Tb (0.500, 0.500, 0.124)
Tb (0.500, 0.500, 0.312)
Tb (0.500, 0.500, 0.876)
Tb (0.500, 0.500, 0.688)
Tb (0.500, 0.500, 0.500)
Cu (0.000, 0.000, 0.407)
Cu (0.000, 0.000, 0.782)
Cu (0.000, 0.000, 0.218)
Cu (0.000, 0.000, 0.593)
Zr (0.000, 0.000, 0.000)

Calculated formation energy across the listed records, respectively: 26 205 -168 meV/atom.